No. 1
{
  "formula": "PrInBiAu",
  "functional": "GGA-PBE",
  "state": "optimized geometry",
  "magmom_total_mub_per_fu": 0.0,
  "e_form_ev_per_fu": -1.54,
  "space_group": "No. 216",
  "volume_a3_per_cell": 442.91,
  "cell": [[7.6226, 0.0000, 0.0000], [0.0000, 7.6226, 0.0000], [0.0000, 0.0000, 7.6226]],
  "species": ["Pr", "Pr", "Pr", "Pr", "In", "In", "In", "In", "Bi", "Bi", "Bi", "Bi", "Au", "Au", "Au", "Au"],
  "frac_coords": [[0.0000, 0.0000, 0.0000], [0.0000, 0.5000, 0.5000], [0.5000, 0.0000, 0.5000], [0.5000, 0.5000, 0.0000], [0.0000, 0.0000, 0.5000], [0.0000, 0.5000, 0.0000], [0.5000, 0.0000, 0.0000], [0.5000, 0.5000, 0.5000], [0.2500, 0.2500, 0.7500], [0.2500, 0.7500, 0.2500], [0.7500, 0.2500, 0.2500], [0.7500, 0.7500, 0.7500], [0.2500, 0.2500, 0.2500], [0.2500, 0.7500, 0.7500], [0.7500, 0.2500, 0.7500], [0.7500, 0.7500, 0.2500]]
}

No. 2
{
  "formula": "Rb2In3BiAu4",
  "functional": "GGA-PBE",
  "state": "optimized geometry",
  "magmom_total_mub_per_fu": 0.0,
  "e_form_ev_per_fu": -2.74,
  "space_group": "No. 115",
  "volume_a3_per_cell": 288.02,
  "cell": [[5.0797, 0.0000, 0.0000], [0.0000, 5.0797, 0.0000], [0.0000, 0.0000, 11.1621]],
  "species": ["Rb", "Rb", "In", "In", "In", "Bi", "Au", "Au", "Au", "Au"],
  "frac_coords": [[0.0000, 0.5000, 0.2397], [0.5000, 0.0000, 0.7603], [0.0000, 0.5000, 0.8857], [0.5000, 0.0000, 0.1143], [0.5000, 0.5000, 0.5000], [0.0000, 0.0000, 0.5000], [0.0000, 0.0000, 0.0000], [0.0000, 0.5000, 0.6342], [0.5000, 0.0000, 0.3658], [0.5000, 0.5000, 0.0000]]
}

No. 3
{
  "formula": "Rb2In4BiAu3",
  "functional": "GGA-PBE",
  "state": "optimized geometry",
  "magmom_total_mub_per_fu": 0.0,
  "e_form_ev_per_fu": -2.46,
  "space_group": "No. 115",
  "volume_a3_per_cell": 298.71,
  "cell": [[5.1144, 0.0000, 0.0000], [0.0000, 5.1144, 0.0000], [0.0000, 0.0000, 11.4198]],
  "species": ["Rb", "Rb", "In", "In", "In", "In", "Bi", "Au", "Au", "Au"],
  "frac_coords": [[0.0000, 0.5000, 0.2499], [0.5000, 0.0000, 0.7501], [0.0000, 0.0000, 0.0000], [0.0000, 0.5000, 0.6418], [0.5000, 0.0000, 0.3582], [0.5000, 0.5000, 0.0000], [0.0000, 0.0000, 0.5000], [0.0000, 0.5000, 0.8861], [0.5000, 0.0000, 0.1139], [0.5000, 0.5000, 0.5000]]
}

No. 4
{
  "formula": "RbInBiAu3",
  "functional": "GGA-PBE",
  "state": "optimized geometry",
  "magmom_total_mub_per_fu": 0.0,
  "e_form_ev_per_fu": -1.07,
  "space_group": "No. 63",
  "volume_a3_per_cell": 397.14,
  "cell": [[3.6331, -6.8402, 0.0000], [3.6331, 6.8402, 0.0000], [0.0000, 0.0000, 7.9904]],
  "species": ["Rb", "Rb", "In", "In", "Bi", "Bi", "Au", "Au", "Au", "Au", "Au", "Au"],
  "frac_coords": [[0.2175, 0.7825, 0.7500], [0.7825, 0.2175, 0.2500], [0.0931, 0.9069, 0.2500], [0.9069, 0.0931, 0.7500], [0.4905, 0.5095, 0.2500], [0.5095, 0.4905, 0.7500], [0.2019, 0.2019, 0.0000], [0.2019, 0.2019, 0.5000], [0.2886, 0.7114, 0.2500], [0.7114, 0.2886, 0.7500], [0.7981, 0.7981, 0.0000], [0.7981, 0.7981, 0.5000]]
}

No. 5
{
  "formula": "In2Bi2RhAu2",
  "functional": "GGA-PBE",
  "state": "optimized geometry",
  "magmom_total_mub_per_fu": 0.0,
  "e_form_ev_per_fu": -1.22,
  "space_group": "No. 2",
  "volume_a3_per_cell": 172.26,
  "cell": [[4.2442, 0.0000, 0.0000], [-0.0181, 6.9656, 0.0000], [-2.1030, -3.4729, 5.8268]],
  "species": ["In", "In", "Bi", "Bi", "Rh", "Au", "Au"],
  "frac_coords": [[0.1109, 0.4492, 0.2244], [0.8891, 0.5508, 0.7756], [0.3928, 0.0391, 0.7874], [0.6072, 0.9609, 0.2126], [0.5000, 0.5000, 0.0000], [0.2527, 0.2545, 0.5031], [0.7473, 0.7455, 0.4969]]
}

No. 6
{
  "formula": "In4BiAuS8",
  "functional": "GGA-PBE",
  "state": "optimized geometry",
  "magmom_total_mub_per_fu": 0.0,
  "space_group": "No. 160",
  "raw_formation_energy_ev_per_atom": -0.427,
  "volume_a3_per_cell": 341.75,
  "cell": [[3.9214, 2.2640, 6.4156], [-3.9214, 2.2640, 6.4156], [0.0000, -4.5280, 6.4156]],
  "species": ["In", "In", "In", "In", "Bi", "Au", "S", "S", "S", "S", "S", "S", "S", "S"],
  "frac_coords": [[0.0000, 0.0000, 0.0000], [0.3823, 0.3823, 0.8621], [0.3823, 0.8621, 0.3823], [0.8621, 0.3823, 0.3823], [0.3830, 0.3830, 0.3830], [0.7472, 0.7472, 0.7472], [0.1250, 0.1250, 0.6059], [0.1250, 0.6059, 0.1250], [0.1348, 0.1348, 0.1348], [0.1432, 0.6292, 0.6292], [0.6059, 0.1250, 0.1250], [0.6196, 0.6196, 0.6196], [0.6292, 0.1432, 0.6292], [0.6292, 0.6292, 0.1432]]
}

No. 7
{
  "formula": "In4BiAuSe8",
  "functional": "GGA-PBE",
  "state": "optimized geometry",
  "magmom_total_mub_per_fu": 0.0,
  "space_group": "No. 160",
  "raw_formation_energy_ev_per_atom": -0.408,
  "volume_a3_per_cell": 395.01,
  "cell": [[4.1237, 2.3808, 6.7058], [-4.1237, 2.3808, 6.7058], [0.0000, -4.7616, 6.7058]],
  "species": ["In", "In", "In", "In", "Bi", "Au", "Se", "Se", "Se", "Se", "Se", "Se", "Se", "Se"],
  "frac_coords": [[0.0000, 0.0000, 0.0000], [0.3824, 0.3824, 0.8596], [0.3824, 0.8596, 0.3824], [0.8596, 0.3824, 0.3824], [0.3821, 0.3821, 0.3821], [0.7484, 0.7484, 0.7484], [0.1259, 0.1259, 0.6043], [0.1259, 0.6043, 0.1259], [0.1358, 0.1358, 0.1358], [0.1407, 0.6288, 0.6288], [0.6043, 0.1259, 0.1259], [0.6198, 0.6198, 0.6198], [0.6288, 0.1407, 0.6288], [0.6288, 0.6288, 0.1407]]
}

No. 8
{
  "formula": "InSiBi2Au6",
  "functional": "GGA-PBE",
  "state": "optimized geometry",
  "magmom_total_mub_per_fu": 0.0,
  "space_group": "No. 59",
  "raw_formation_energy_ev_per_atom": 0.004,
  "volume_a3_per_cell": 460.84,
  "cell": [[5.5835, 0.0000, 0.0000], [0.0000, 9.0442, 0.0000], [0.0000, 0.0000, 9.1259]],
  "species": ["In", "In", "Si", "Si", "Bi", "Bi", "Bi", "Bi", "Au", "Au", "Au", "Au", "Au", "Au", "Au", "Au", "Au", "Au", "Au", "Au"],
  "frac_coords": [[0.2500, 0.2500, 0.2128], [0.7500, 0.7500, 0.7872], [0.2500, 0.7500, 0.2679], [0.7500, 0.2500, 0.7321], [0.2500, 0.5261, 0.8079], [0.2500, 0.9739, 0.8079], [0.7500, 0.0261, 0.1921], [0.7500, 0.4739, 0.1921], [0.0006, 0.7500, 0.0462], [0.0032, 0.2500, 0.4933], [0.2500, 0.5046, 0.3833], [0.2500, 0.9954, 0.3833], [0.4968, 0.2500, 0.4933], [0.4994, 0.7500, 0.0462], [0.5006, 0.2500, 0.9538], [0.5032, 0.7500, 0.5067], [0.7500, 0.0046, 0.6167], [0.7500, 0.4954, 0.6167], [0.9968, 0.7500, 0.5067], [0.9994, 0.2500, 0.9538]]
}

Taking the records one at a time from the top gives electronic total energy values of -4.0552; -2.9881; -2.9062; -3.0821; -4.0518; -4.0796; -3.6924; -3.5552 eV/atom.